Entry 1:
Crystalline ZrPPbO2 at its relaxed geometry, computed with GGA-PBE.

Geometry as extended XYZ:
```
5
Lattice="4.1178 0.0000 0.0000 0.0000 4.1178 0.0000 0.0000 0.0000 5.5058" Properties=species:S:1:pos:R:3 pbc="T T T"
Zr 0.0000 0.0000 0.0000
P 0.0000 0.0000 2.7529
Pb 2.0589 2.0589 2.7529
O 0.0000 2.0589 0.0000
O 2.0589 0.0000 0.0000
```

Calculated values
Formation energy (no corrections) in meV per atom: -1510.5
Energy in eV/atom: -7.03
Distance to the lowest polymorph of the same formula in eV per atom: 0.000
Total moment in μB/f.u.: 0.00

Entry 2:
Crystalline ZrPPbO2 at its relaxed geometry, computed with GGA-PBE.

Geometry as extended XYZ:
```
5
Lattice="4.1248 0.0000 0.0000 0.0000 4.1248 0.0000 0.0000 0.0000 5.4137" Properties=species:S:1:pos:R:3 pbc="T T T"
Zr 0.0000 0.0000 0.0000
P 2.0624 2.0624 0.0000
Pb 2.0624 2.0624 2.7068
O 0.0000 2.0624 2.7068
O 2.0624 0.0000 2.7068
```

Calculated values
Formation energy (no corrections) in meV per atom: -210.8
Energy in eV/atom: -5.73
Distance to the lowest polymorph of the same formula in eV per atom: 1.300
Total moment in μB/f.u.: 0.22

Entry 3:
Crystalline ZrP2PbO at its relaxed geometry, computed with GGA-PBE.

Geometry as extended XYZ:
```
5
Lattice="5.1029 0.0000 0.0000 0.0000 5.1029 0.0000 0.0000 0.0000 4.2739" Properties=species:S:1:pos:R:3 pbc="T T T"
Zr 0.0000 0.0000 0.0000
P 0.0000 2.5514 2.1369
P 2.5514 0.0000 2.1369
Pb 2.5514 2.5514 2.1369
O 2.5514 2.5514 0.0000
```

Calculated values
Formation energy (no corrections) in meV per atom: 485.5
Energy in eV/atom: -5.12
Total moment in μB/f.u.: 0.00

Entry 4:
Crystalline P2PdO8 at its relaxed geometry, computed with GGA-PBE.

Geometry as extended XYZ:
```
11
Lattice="3.9410 -4.5900 0.0000 3.9410 4.5900 0.0000 -0.1950 0.0000 4.6759" Properties=species:S:1:pos:R:3 pbc="T T T"
P 1.7761 0.0000 0.4047
P 5.9108 0.0000 4.2712
Pd -0.0975 0.0000 2.3379
O 0.9876 1.1995 1.0779
O 6.6994 -1.1995 3.5980
O 1.5129 0.0000 3.5408
O 0.9876 -1.1995 1.0779
O 3.2537 0.0000 0.8377
O 4.4332 0.0000 3.8382
O 6.6994 1.1995 3.5980
O 6.1740 0.0000 1.1351
```

Calculated values
Formation energy (no corrections) in meV per atom: -1174.1
Energy in eV/atom: -6.24
Total moment in μB/f.u.: 1.95

Entry 5:
Crystalline P3PdO at its relaxed geometry, computed with GGA-PBE.

Geometry as extended XYZ:
```
5
Lattice="4.6645 0.0000 0.0000 0.0000 4.6645 0.0000 0.0000 0.0000 4.6645" Properties=species:S:1:pos:R:3 pbc="T T T"
P 0.0000 0.0000 2.3322
P 0.0000 2.3322 0.0000
P 2.3322 0.0000 0.0000
Pd 0.0000 0.0000 0.0000
O 2.3322 2.3322 2.3322
```

Calculated values
Formation energy (no corrections) in meV per atom: 1322.2
Energy in eV/atom: -3.95
Distance to the lowest polymorph of the same formula in eV per atom: 0.825
Total moment in μB/f.u.: 2.26

Entry 6:
Crystalline P2Pd2O7 at its relaxed geometry, computed with GGA-PBE.

Geometry as extended XYZ:
```
11
Lattice="4.0472 -4.2801 0.0000 4.0472 4.2801 0.0000 -2.0086 0.0000 4.3111" Properties=species:S:1:pos:R:3 pbc="T T T"
P 0.5513 0.0000 1.8153
P 5.5346 0.0000 2.4958
Pd 4.0472 1.5994 0.0000
Pd 4.0472 -1.5994 0.0000
O -1.0043 0.0000 2.1556
O 0.9365 1.2732 1.0818
O 0.9365 -1.2732 1.0818
O 1.3013 0.0000 3.1970
O 4.7845 0.0000 1.1142
O 5.1494 1.2732 3.2293
O 5.1494 -1.2732 3.2293
```

Calculated values
Formation energy (no corrections) in meV per atom: -1410.7
Energy in eV/atom: -6.49
Distance to the lowest polymorph of the same formula in eV per atom: 0.045
Total moment in μB/f.u.: 0.00